Record 1
Density functional theory data (PBE-GGA) for a relaxed structure of NiMo2W.

Structure (POSCAR):
```
NiMo2W
1.0
5.160 -0.008 -0.003
-2.344 4.622 0.015
0.435 0.773 2.503
Mo Ni W
2 1 1
Direct
0.000 0.500 0.500
0.000 0.000 0.000
0.500 0.500 0.000
0.500 0.000 0.500
```

- Fermi-level density of states: 5.09 states/eV/cell
- E_form: 0.15 eV/atom
- Total magnetization: 0.0 μB per formula unit
- Excess energy over the best structure of this formula in the dataset: 38 kJ/mol of formula units



Record 2
Density functional theory data (PBE-GGA) for a relaxed structure of Ho3NiPb.

Structure (POSCAR):
```
Ho3NiPb
1.0
5.172 0.000 0.000
0.000 5.172 0.000
0.000 0.000 5.172
Ho Ni Pb
3 1 1
Direct
0.000 0.500 0.000
0.500 0.000 0.000
0.000 0.000 0.500
0.000 0.000 0.000
0.500 0.500 0.500
```

- Fermi-level density of states: 5.52 states/eV/cell
- E_form: -0.30 eV/atom
- Total magnetization: 0.0 μB per formula unit
- Excess energy over the best structure of this formula in the dataset: 30 kJ/mol of formula units



Record 3
Density functional theory data (PBE-GGA) for a relaxed structure of CuRhNF2.

Structure (POSCAR):
```
CuRhNF2
1.0
-0.693 4.227 -0.163
-2.289 -0.235 3.616
3.050 0.576 1.968
Cu N F Rh
1 1 2 1
Direct
0.500 0.500 0.500
0.000 0.000 0.500
0.500 0.000 0.000
0.000 0.500 0.000
0.000 0.000 0.000
```

- Fermi-level density of states: 1.79 states/eV/cell
- Total magnetization: 0.0 μB per formula unit
- Formation energy (no corrections): -0.099 eV per atom
- Excess energy over the best structure of this formula in the dataset: 0 kJ/mol of formula units



Record 4
Density functional theory data (PBE-GGA) for a relaxed structure of AcPm3Ho2.

Structure (POSCAR):
```
AcPm3Ho2
1.0
-0.948 2.802 -1.918
-5.953 -1.459 0.812
3.213 4.843 8.725
Pm Ho Ac
3 2 1
Direct
0.192 0.192 0.384
0.000 0.500 0.000
0.808 0.808 0.616
0.361 0.361 0.722
0.639 0.639 0.278
0.000 0.000 0.000
```

- Fermi-level density of states: 11.20 states/eV/cell
- E_form: 0.37 eV/atom
- Total magnetization: 0.0 μB per formula unit
- Excess energy over the best structure of this formula in the dataset: 190 kJ/mol of formula units



Record 5
Density functional theory data (PBE-GGA) for a relaxed structure of Y3PaRh4.

Structure (POSCAR):
```
Y3PaRh4
1.0
3.443 0.000 0.000
0.000 3.443 0.000
0.000 0.000 14.000
Rh Y Pa
4 3 1
Direct
0.000 0.000 0.626
0.000 0.000 0.890
0.000 0.000 0.110
0.000 0.000 0.374
0.500 0.500 0.500
0.500 0.500 0.746
0.500 0.500 0.254
0.500 0.500 0.000
```

- Fermi-level density of states: 5.64 states/eV/cell
- E_form: -0.80 eV/atom
- Total magnetization: 0.0 μB per formula unit



Record 6
Density functional theory data (PBE-GGA) for a relaxed structure of LaCrSnPb2.

Structure (POSCAR):
```
LaCrSnPb2
1.0
-2.987 4.316 0.272
-2.293 -1.855 4.248
3.643 2.332 2.985
Cr Pb La Sn
1 2 1 1
Direct
0.000 0.000 0.000
0.500 0.000 0.000
0.000 0.000 0.500
0.500 0.500 0.500
0.000 0.500 0.000
```

- Fermi-level density of states: 3.58 states/eV/cell
- E_form: 0.08 eV/atom
- Total magnetization: 2.5 μB per formula unit



Record 7
Density functional theory data (PBE-GGA) for a relaxed structure of AlB3Te.

Structure (POSCAR):
```
AlB3Te
1.0
4.285 0.000 0.000
0.000 4.285 0.000
0.000 0.000 4.285
B Te Al
3 1 1
Direct
0.000 0.000 0.500
0.500 0.000 0.000
0.000 0.500 0.000
0.500 0.500 0.500
0.000 0.000 0.000
```

- Fermi-level density of states: 2.35 states/eV/cell
- Total magnetization: 0.0 μB per formula unit
- Formation energy (no corrections): 1.680 eV per atom
- Excess energy over the best structure of this formula in the dataset: 0 kJ/mol of formula units



Record 8
Density functional theory data (PBE-GGA) for a relaxed structure of SnPSeBr2.

Structure (POSCAR):
```
SnPSeBr2
1.0
-3.636 3.985 -0.976
-1.085 -2.191 -4.907
-4.018 -3.109 2.277
Br Se Sn P
2 1 1 1
Direct
0.000 0.500 0.000
0.500 0.000 0.000
0.000 0.000 0.500
0.000 0.000 0.000
0.500 0.500 0.500
```

- Fermi-level density of states: 2.84 states/eV/cell
- Total magnetization: 1.8 μB per formula unit
- Formation energy (no corrections): 0.482 eV per atom
- Excess energy over the best structure of this formula in the dataset: 202 kJ/mol of formula units



Record 9
Density functional theory data (PBE-GGA) for a relaxed structure of RbIn4Sn2.

Structure (POSCAR):
```
RbIn4Sn2
1.0
-5.571 -1.618 2.214
0.830 -5.773 -2.130
0.970 -5.761 6.939
Sn In Rb
2 4 1
Direct
0.592 0.592 0.817
0.408 0.408 0.183
0.000 0.500 0.000
0.500 0.000 0.000
0.223 0.223 0.553
0.777 0.777 0.447
0.000 0.000 0.000
```

- Fermi-level density of states: 5.92 states/eV/cell
- E_form: 0.53 eV/atom
- Total magnetization: 0.0 μB per formula unit
- Excess energy over the best structure of this formula in the dataset: 417 kJ/mol of formula units



Record 10
Density functional theory data (PBE-GGA) for a relaxed structure of Dy4Sc5Tl.

Structure (POSCAR):
```
Dy4Sc5Tl
1.0
-0.698 -4.493 -3.115
5.821 -0.860 -4.938
3.191 -6.161 3.296
Dy Tl Sc
4 1 5
Direct
0.454 0.314 0.686
0.768 0.686 0.686
0.140 0.314 0.314
0.454 0.686 0.314
0.192 0.000 0.000
0.140 0.000 0.631
0.772 0.369 0.000
0.678 0.000 0.000
0.772 0.000 0.369
0.140 0.631 0.000
```

- Fermi-level density of states: 15.20 states/eV/cell
- E_form: 0.10 eV/atom
- Total magnetization: 0.0 μB per formula unit



Record 11
Density functional theory data (PBE-GGA) for a relaxed structure of PuPa4Ru.

Structure (POSCAR):
```
PuPa4Ru
1.0
7.324 0.261 0.000
-2.719 6.806 0.000
-2.303 -3.534 5.994
Pa Ru Pu
8 2 2
Direct
0.276 0.583 0.307
0.718 0.526 0.193
0.731 0.428 0.698
0.178 0.981 0.198
0.731 0.033 0.302
0.333 0.526 0.807
0.783 0.981 0.802
0.276 0.968 0.693
0.996 0.496 0.500
0.246 0.246 0.000
0.741 0.741 0.000
0.491 0.991 0.500
```

- Fermi-level density of states: 16.35 states/eV/cell
- E_form: -0.07 eV/atom
- Total magnetization: 0.0 μB per formula unit



Record 12
Density functional theory data (PBE-GGA) for a relaxed structure of TbHo4Th2.

Structure (POSCAR):
```
TbHo4Th2
1.0
-0.022 -3.415 0.624
8.397 1.195 0.059
-4.614 0.207 7.630
Ho Tb Th
4 1 2
Direct
0.043 0.835 0.283
0.639 0.275 0.422
0.361 0.725 0.578
0.957 0.165 0.717
0.000 0.000 0.000
0.412 0.414 0.133
0.588 0.586 0.867
```

- Fermi-level density of states: 11.72 states/eV/cell
- E_form: 0.12 eV/atom
- Total magnetization: 0.0 μB per formula unit
- Excess energy over the best structure of this formula in the dataset: 0 kJ/mol of formula units